1.
PBE-GGA LiTb2BiO6, optimized geometry; uncorrected formation energy = -227 kJ per mole of atoms
1.0
-3.7756 -4.2676 0.0567
0.2545 -3.9759 4.0741
-4.2924 0.0504 4.3021
O Bi Tb Li
6 1 2 1
direct
0.9463 0.5979 0.2378 O
0.6970 0.1206 0.7570 O
0.2181 0.9463 0.2377 O
0.5979 0.2180 0.2377 O
0.1206 0.4254 0.7570 O
0.4253 0.6970 0.7570 O
0.3196 0.3196 0.0412 Bi
0.0245 0.0245 0.9265 Tb
0.5264 0.5264 0.4208 Tb
0.7858 0.7858 0.6425 Li



2.
PBE-GGA SrAsAu2S, optimized geometry; uncorrected formation energy = -42 kJ per mole of atoms
1.0
4.9021 0.0000 0.0000
0.0000 5.3325 0.0000
0.0000 0.0000 4.9021
As Au S Sr
1 2 1 1
direct
0.0000 0.0000 0.0000 As
0.0000 0.0000 0.5000 Au
0.5000 0.0000 0.0000 Au
0.0000 0.5000 0.0000 S
0.5000 0.5000 0.5000 Sr